SrTeCl2: optimized geometry, GGA-PBE.

* SG: Fm-3m
* E_tot: -3.22 eV per atom
* energy relative to the elements, uncorrected: -1.09 eV/atom
* volume: 28.59 Å³/atom
* E above lowest polymorph: 34.7 kJ/mol of atoms

abc: 5.448 5.448 5.448
angles: 60.00 60.00 60.00
Site moments in Bohr magnetons follow the coordinates.
Positions (direct):
Sr 0.000 0.000 0.000  0.02
Te 0.500 0.500 0.500  0.83
Cl 0.250 0.250 0.250  0.18
Cl 0.750 0.750 0.750  0.18



SrTeCl3: optimized geometry, GGA-PBE.

* SG: Pm-3m
* E_tot: -3.19 eV per atom
* energy relative to the elements, uncorrected: -1.12 eV/atom
* volume: 36.59 Å³/atom
* E above lowest polymorph: 0.0 kJ/mol of atoms

abc: 5.677 5.677 5.677
angles: 90.00 90.00 90.00
Site moments in Bohr magnetons follow the coordinates.
Positions (direct):
Sr 0.000 0.000 0.000  0.00
Te 0.500 0.500 0.500  1.41
Cl 0.000 0.500 0.000  0.07
Cl 0.000 0.000 0.500  0.15
Cl 0.500 0.000 0.000  0.10



SrTeCl2: optimized geometry, GGA-PBE.

* SG: P2/m
* E_tot: -3.35 eV per atom
* energy relative to the elements, uncorrected: -1.22 eV/atom
* volume: 35.98 Å³/atom
* E above lowest polymorph: 22.1 kJ/mol of atoms

abc: 4.348 5.828 5.840
angles: 76.53 90.00 90.00
Site moments in Bohr magnetons follow the coordinates.
Positions (direct):
Sr 0.500 0.250 0.250  0.01
Te 0.500 0.750 0.750  0.90
Cl 0.000 0.045 0.045  0.11
Cl 0.000 0.455 0.455  0.11



SrTeCl2: optimized geometry, GGA-PBE.

* SG: P4mm
* E_tot: -3.44 eV per atom
* energy relative to the elements, uncorrected: -1.31 eV/atom
* volume: 36.15 Å³/atom
* E above lowest polymorph: 13.3 kJ/mol of atoms

abc: 5.104 5.106 5.548
angles: 90.00 90.00 90.00
Positions (direct):
Sr 0.000 0.000 0.614
Te 0.500 0.500 0.605
Cl 0.000 0.000 0.111
Cl 0.500 0.500 0.171



SrTeCl2: optimized geometry, GGA-PBE.

* SG: R-3m
* E_tot: -2.59 eV per atom
* energy relative to the elements, uncorrected: -0.46 eV/atom
* volume: 48.56 Å³/atom
* E above lowest polymorph: 95.6 kJ/mol of atoms

abc: 10.667 10.667 10.667
angles: 25.24 25.24 25.24
Site moments in Bohr magnetons follow the coordinates.
Positions (direct):
Sr 0.000 0.000 0.000  -0.01
Te 0.500 0.500 0.500  1.20
Cl 0.915 0.915 0.915  0.07
Cl 0.085 0.085 0.085  0.07



SrTeCl6: optimized geometry, GGA-PBE.

* SG: R-3
* E_tot: -3.24 eV per atom
* energy relative to the elements, uncorrected: -1.26 eV/atom
* volume: 31.39 Å³/atom

abc: 6.806 6.807 7.390
angles: 62.59 62.58 60.00
Positions (direct):
Sr 0.500 0.500 0.500
Te 0.000 0.000 0.000
Cl 0.061 0.397 0.765
Cl 0.778 0.061 0.765
Cl 0.603 0.222 0.235
Cl 0.222 0.939 0.235
Cl 0.939 0.603 0.235
Cl 0.397 0.778 0.765



SrTe3Cl: optimized geometry, GGA-PBE.

* SG: Pm-3m
* E_tot: -2.81 eV per atom
* energy relative to the elements, uncorrected: -0.22 eV/atom
* volume: 33.76 Å³/atom
* E above lowest polymorph: 0.0 kJ/mol of atoms

abc: 5.527 5.527 5.527
angles: 90.00 90.00 90.00
Positions (direct):
Sr 0.500 0.500 0.500
Te 0.000 0.500 0.000
Te 0.000 0.000 0.500
Te 0.500 0.000 0.000
Cl 0.000 0.000 0.000



SrTlTeCl: optimized geometry, GGA-PBE.

* SG: F-43m
* E_tot: -3.55 eV per atom
* energy relative to the elements, uncorrected: -1.30 eV/atom
* volume: 31.39 Å³/atom

abc: 5.620 5.620 5.620
angles: 60.00 60.00 60.00
Positions (direct):
Sr 0.750 0.750 0.750
Tl 0.250 0.250 0.250
Te 0.000 0.000 0.000
Cl 0.500 0.500 0.500



SrYTe2Cl: optimized geometry, GGA-PBE.

* SG: P4/mmm
* E_tot: -3.86 eV per atom
* energy relative to the elements, uncorrected: -0.61 eV/atom
* volume: 38.40 Å³/atom

abc: 6.355 4.754 6.355
angles: 90.00 90.00 90.00
Positions (direct):
Y 0.000 0.500 0.000
Sr 0.500 0.500 0.500
Te 0.000 0.000 0.500
Te 0.500 0.000 0.000
Cl 0.000 0.000 0.000



SrThTl2Cl8: optimized geometry, GGA-PBE.

* SG: P2/m
* E_tot: -4.24 eV per atom
* energy relative to the elements, uncorrected: -1.85 eV/atom
* volume: 38.04 Å³/atom

abc: 7.115 7.189 8.938
angles: 90.01 90.00 93.01
Positions (direct):
Sr 0.000 0.000 0.500
Th 0.000 0.000 0.000
Tl 0.500 0.500 0.741
Tl 0.500 0.500 0.259
Cl 0.135 0.794 0.229
Cl 0.683 0.789 0.000
Cl 0.865 0.206 0.229
Cl 0.865 0.206 0.771
Cl 0.317 0.211 0.000
Cl 0.135 0.794 0.771
Cl 0.681 0.745 0.500
Cl 0.319 0.255 0.500



SrTiCl2: optimized geometry, GGA-PBE.

* SG: R-3m
* E_tot: -4.21 eV per atom
* energy relative to the elements, uncorrected: -0.89 eV/atom
* volume: 26.83 Å³/atom
* E above lowest polymorph: 3.3 kJ/mol of atoms

abc: 9.178 9.178 9.178
angles: 23.43 23.43 23.43
Site moments in Bohr magnetons follow the coordinates.
Positions (direct):
Sr 0.500 0.500 0.500  0.14
Cl 0.907 0.907 0.907  -0.01
Cl 0.093 0.093 0.093  -0.01
Ti 0.000 0.000 0.000  1.62



SrTiCl2: optimized geometry, GGA-PBE.

* SG: I-42d
* E_tot: -4.20 eV per atom
* energy relative to the elements, uncorrected: -0.88 eV/atom
* volume: 28.12 Å³/atom
* E above lowest polymorph: 4.4 kJ/mol of atoms

abc: 5.406 5.406 8.595
angles: 71.67 71.67 90.00
Site moments in Bohr magnetons follow the coordinates.
Positions (direct):
Sr 0.000 0.000 0.000  0.14
Sr 0.750 0.250 0.500  0.14
Cl 0.562 0.125 0.250  0.01
Cl 0.188 0.625 0.250  0.01
Cl 0.375 0.438 0.750  0.01
Cl 0.875 0.812 0.750  0.01
Ti 0.500 0.500 0.000  2.04
Ti 0.250 0.750 0.500  2.04



Sr2TiCl: optimized geometry, GGA-PBE.

* SG: Fm-3m
* E_tot: -3.19 eV per atom
* energy relative to the elements, uncorrected: 0.08 eV/atom
* volume: 34.87 Å³/atom
* E above lowest polymorph: 17.9 kJ/mol of atoms

abc: 5.821 5.821 5.821
angles: 60.00 60.00 60.00
Site moments in Bohr magnetons follow the coordinates.
Positions (direct):
Sr 0.250 0.250 0.250  0.20
Sr 0.750 0.750 0.750  0.20
Cl 0.000 0.000 0.000  0.06
Ti 0.500 0.500 0.500  2.21



SrTiCl6: optimized geometry, GGA-PBE.

* SG: C2/m
* E_tot: -4.43 eV per atom
* energy relative to the elements, uncorrected: -1.84 eV/atom
* volume: 31.47 Å³/atom

abc: 6.827 6.827 6.524
angles: 97.44 97.44 120.92
Positions (direct):
Sr 0.000 0.000 0.000
Ti 0.500 0.500 0.500
Cl 0.259 0.259 0.704
Cl 0.450 0.166 0.280
Cl 0.741 0.741 0.296
Cl 0.834 0.550 0.720
Cl 0.550 0.834 0.720
Cl 0.166 0.450 0.280



Sr3TiCl: optimized geometry, GGA-PBE.

* SG: Pm-3m
* E_tot: -2.97 eV per atom
* energy relative to the elements, uncorrected: -0.02 eV/atom
* volume: 38.10 Å³/atom
* E above lowest polymorph: 0.0 kJ/mol of atoms

abc: 5.754 5.754 5.754
angles: 90.00 90.00 90.00
Positions (direct):
Sr 0.000 0.500 0.000
Sr 0.000 0.000 0.500
Sr 0.500 0.000 0.000
Cl 0.000 0.000 0.000
Ti 0.500 0.500 0.500



SrTiCl3: optimized geometry, GGA-PBE.

* SG: Pm-3m
* E_tot: -4.38 eV per atom
* energy relative to the elements, uncorrected: -1.36 eV/atom
* volume: 25.40 Å³/atom
* E above lowest polymorph: 0.0 kJ/mol of atoms

abc: 5.026 5.026 5.026
angles: 90.00 90.00 90.00
Site moments in Bohr magnetons follow the coordinates.
Positions (direct):
Sr 0.500 0.500 0.500  0.07
Cl 0.000 0.500 0.000  0.00
Cl 0.000 0.000 0.500  -0.02
Cl 0.500 0.000 0.000  0.02
Ti 0.000 0.000 0.000  1.94



SrTi3Cl: optimized geometry, GGA-PBE.

* SG: Pm-3m
* E_tot: -5.19 eV per atom
* energy relative to the elements, uncorrected: 0.26 eV/atom
* volume: 21.32 Å³/atom
* E above lowest polymorph: 0.0 kJ/mol of atoms

abc: 4.742 4.742 4.742
angles: 90.00 90.00 90.00
Site moments in Bohr magnetons follow the coordinates.
Positions (direct):
Sr 0.500 0.500 0.500  0.04
Cl 0.000 0.000 0.000  -0.01
Ti 0.000 0.500 0.000  0.18
Ti 0.000 0.000 0.500  0.11
Ti 0.500 0.000 0.000  0.35



SrTi3Cl: optimized geometry, GGA-PBE.

* SG: Pm-3m
* E_tot: -3.44 eV per atom
* energy relative to the elements, uncorrected: 2.00 eV/atom
* volume: 26.26 Å³/atom
* E above lowest polymorph: 168.3 kJ/mol of atoms

abc: 5.083 5.083 5.083
angles: 90.00 90.00 90.00
Site moments in Bohr magnetons follow the coordinates.
Positions (direct):
Sr 0.000 0.000 0.000  0.04
Cl 0.500 0.500 0.500  0.03
Ti 0.000 0.500 0.000  0.72
Ti 0.000 0.000 0.500  0.70
Ti 0.500 0.000 0.000  0.78



Sr2TiCl: optimized geometry, GGA-PBE.

* SG: I-42d
* E_tot: -3.38 eV per atom
* energy relative to the elements, uncorrected: -0.10 eV/atom
* volume: 37.85 Å³/atom
* E above lowest polymorph: 0.0 kJ/mol of atoms

abc: 8.675 8.675 7.336
angles: 53.75 53.75 90.00
Site moments in Bohr magnetons follow the coordinates.
Positions (direct):
Sr 0.571 0.125 0.250  0.09
Sr 0.179 0.625 0.250  0.09
Sr 0.375 0.429 0.750  0.09
Sr 0.875 0.821 0.750  0.09
Cl 0.500 0.500 0.000  0.02
Cl 0.250 0.750 0.500  0.02
Ti 0.000 0.000 0.000  2.03
Ti 0.750 0.250 0.500  2.03



SrTiCl3: optimized geometry, GGA-PBE.

* SG: Pm-3m
* E_tot: -4.00 eV per atom
* energy relative to the elements, uncorrected: -0.98 eV/atom
* volume: 35.36 Å³/atom
* E above lowest polymorph: 36.6 kJ/mol of atoms

abc: 5.612 5.612 5.612
angles: 90.00 90.00 90.00
Site moments in Bohr magnetons follow the coordinates.
Positions (direct):
Sr 0.000 0.000 0.000  0.00
Cl 0.000 0.500 0.000  0.01
Cl 0.000 0.000 0.500  0.00
Cl 0.500 0.000 0.000  0.01
Ti 0.500 0.500 0.500  2.33



| no. | density (g/cm3) |
| --- | --- |
| 1 | 4.2 |
| 2 | 2.9 |
| 3 | 3.3 |
| 4 | 3.3 |
| 5 | 2.4 |
| 6 | 2.8 |
| 7 | 5.0 |
| 8 | 6.0 |
| 9 | 4.0 |
| 10 | 3.7 |
| 11 | 3.2 |
| 12 | 3.0 |
| 13 | 3.1 |
| 14 | 2.3 |
| 15 | 3.0 |
| 16 | 3.2 |
| 17 | 4.2 |
| 18 | 3.4 |
| 19 | 2.8 |
| 20 | 2.3 |